# PBE YCrTe2I, relaxed
# Total DFT energy (no corrections) = -4.790 eV/atom
# ΔE_f (raw) = -6 meV/atom
data_YCrTe2I
_cell_length_a 5.889
_cell_length_b 5.889
_cell_length_c 5.924
_cell_angle_alpha 90.00
_cell_angle_beta 90.00
_cell_angle_gamma 90.00
_space_group_name_H-M_alt 'P 1'
_space_group_IT_number 1
loop_
_space_group_symop_operation_xyz
'x,y,z'
loop_
_atom_site_label
_atom_site_fract_x
_atom_site_fract_y
_atom_site_fract_z
_atom_site_occupancy
I1 0.000 0.000 0.500 1
Y1 0.000 0.000 0.000 1
Te1 0.000 0.500 0.000 1
Te2 0.500 0.000 0.000 1
Cr1 0.500 0.500 0.500 1

***

# PBE ZnCrTe2I, relaxed
# Total DFT energy (no corrections) = -3.418 eV/atom
# ΔE_f (raw) = 328 meV/atom
data_ZnCrTe2I
_cell_length_a 5.198
_cell_length_b 5.198
_cell_length_c 5.739
_cell_angle_alpha 90.00
_cell_angle_beta 90.00
_cell_angle_gamma 90.00
_space_group_name_H-M_alt 'P 1'
_space_group_IT_number 1
loop_
_space_group_symop_operation_xyz
'x,y,z'
loop_
_atom_site_label
_atom_site_fract_x
_atom_site_fract_y
_atom_site_fract_z
_atom_site_occupancy
I1 0.000 0.000 0.500 1
Cr1 0.000 0.000 0.000 1
Zn1 0.500 0.500 0.500 1
Te1 0.000 0.500 0.000 1
Te2 0.500 0.000 0.000 1

***

# PBE ZnCrTeI2, relaxed
# Total DFT energy (no corrections) = -3.216 eV/atom
# ΔE_f (raw) = 212 meV/atom
data_ZnCrTeI2
_cell_length_a 5.648
_cell_length_b 5.648
_cell_length_c 5.202
_cell_angle_alpha 90.00
_cell_angle_beta 90.00
_cell_angle_gamma 90.00
_space_group_name_H-M_alt 'P 1'
_space_group_IT_number 1
loop_
_space_group_symop_operation_xyz
'x,y,z'
loop_
_atom_site_label
_atom_site_fract_x
_atom_site_fract_y
_atom_site_fract_z
_atom_site_occupancy
I1 0.000 0.500 0.000 1
I2 0.500 0.000 0.000 1
Cr1 0.000 0.000 0.000 1
Zn1 0.500 0.500 0.500 1
Te1 0.000 0.000 0.500 1

***

# PBE ZnCrTe2I, relaxed
# Total DFT energy (no corrections) = -3.150 eV/atom
# ΔE_f (raw) = 597 meV/atom
data_ZnCrTe2I
_cell_length_a 5.283
_cell_length_b 5.283
_cell_length_c 5.720
_cell_angle_alpha 90.00
_cell_angle_beta 90.00
_cell_angle_gamma 90.00
_space_group_name_H-M_alt 'P 1'
_space_group_IT_number 1
loop_
_space_group_symop_operation_xyz
'x,y,z'
loop_
_atom_site_label
_atom_site_fract_x
_atom_site_fract_y
_atom_site_fract_z
_atom_site_occupancy
I1 0.000 0.000 0.500 1
Cr1 0.500 0.500 0.500 1
Zn1 0.000 0.000 0.000 1
Te1 0.000 0.500 0.000 1
Te2 0.500 0.000 0.000 1